Computed, not measured: a relaxed structure of NaLiPb3 at the PBE level of DFT.

Results
As for the formation energy from the elements: -0.1380 eV per atom. The energy above the most stable polymorph in this dataset is 0.0 kJ/mol of atoms. Its space group is P2_1/m (11).

The structure in POSCAR format:
```
NaLiPb3
1.0
7.688 0.000 0.000
0.000 4.724 0.000
-1.206 0.000 7.932
Na Li Pb
2 2 6
Direct
0.174 0.250 0.174
0.826 0.750 0.826
0.249 0.750 0.539
0.751 0.250 0.461
0.080 0.250 0.681
0.335 0.750 0.912
0.483 0.250 0.671
0.517 0.750 0.329
0.665 0.250 0.088
0.920 0.750 0.319
```